Entry 1:
A plane-wave DFT calculation with PBE was carried out for an optimized crystal structure of CaPaZnGa.

```
data_CaPaZnGa
_cell_length_a 7.157
_cell_length_b 7.157
_cell_length_c 7.157
_cell_angle_alpha 90.00
_cell_angle_beta 90.00
_cell_angle_gamma 90.00
_space_group_name_H-M_alt 'F -4 3 m'
_space_group_IT_number 216
_space_group_name_Hall 'F -4 2 3'
loop_
_atom_site_label
_atom_site_type_symbol
_atom_site_fract_x
_atom_site_fract_y
_atom_site_fract_z
Ca1 Ca 0.000 0.000 0.000
Pa1 Pa 0.000 0.000 0.500
Zn1 Zn 0.250 0.250 0.250
Ga1 Ga 0.250 0.250 0.750
```

Output
Calculated formation energy   -0.307 eV per formula unit
Crystal system   cubic

Entry 2:
A plane-wave DFT calculation with PBE was carried out for an optimized crystal structure of Na3LaTc.

```
data_Na3LaTc
_cell_length_a 4.470
_cell_length_b 4.131
_cell_length_c 18.275
_cell_angle_alpha 90.00
_cell_angle_beta 96.88
_cell_angle_gamma 90.00
_space_group_name_H-M_alt 'P 1 21/m 1'
_space_group_IT_number 11
_space_group_name_Hall '-P 2yb'
loop_
_atom_site_label
_atom_site_type_symbol
_atom_site_fract_x
_atom_site_fract_y
_atom_site_fract_z
Na1 Na 0.114 0.250 0.222
Na2 Na 0.223 0.250 0.445
Na3 Na 0.333 0.250 0.667
La1 La 0.452 0.250 0.910
Tc1 Tc 0.035 0.750 0.970
```

Output
Calculated formation energy   0.382 eV per formula unit
Crystal system   monoclinic

Entry 3:
A plane-wave DFT calculation with PBE was carried out for an optimized crystal structure of KCrHg.

```
data_KCrHg
_cell_length_a 7.802
_cell_length_b 7.802
_cell_length_c 7.802
_cell_angle_alpha 90.00
_cell_angle_beta 90.00
_cell_angle_gamma 90.00
_space_group_name_H-M_alt 'F -4 3 m'
_space_group_IT_number 216
_space_group_name_Hall 'F -4 2 3'
loop_
_atom_site_label
_atom_site_type_symbol
_atom_site_fract_x
_atom_site_fract_y
_atom_site_fract_z
K1 K 0.000 0.000 0.000
Cr1 Cr 0.250 0.250 0.250
Hg1 Hg 0.250 0.250 0.750
```

Output
Calculated formation energy   2.790 eV per formula unit
Crystal system   cubic

Entry 4:
A plane-wave DFT calculation with PBE was carried out for an optimized crystal structure of Rb2AgBi2.

```
data_Rb2AgBi2
_cell_length_a 12.785
_cell_length_b 5.407
_cell_length_c 12.621
_cell_angle_alpha 90.00
_cell_angle_beta 118.35
_cell_angle_gamma 90.00
_space_group_name_H-M_alt 'C 1 2/m 1'
_space_group_IT_number 12
_space_group_name_Hall '-C 2y'
loop_
_atom_site_label
_atom_site_type_symbol
_atom_site_fract_x
_atom_site_fract_y
_atom_site_fract_z
Rb1 Rb 0.085 0.000 0.385
Rb2 Rb 0.176 0.500 0.184
Ag1 Ag 0.136 0.500 0.859
Bi1 Bi 0.098 0.000 0.956
Bi2 Bi 0.117 0.500 0.614
```

Output
Calculated formation energy   -1.053 eV per formula unit
Crystal system   monoclinic

Entry 5:
A plane-wave DFT calculation with PBE was carried out for an optimized crystal structure of LiScZn.

```
data_LiScZn
_cell_length_a 6.470
_cell_length_b 6.470
_cell_length_c 6.470
_cell_angle_alpha 90.00
_cell_angle_beta 90.00
_cell_angle_gamma 90.00
_space_group_name_H-M_alt 'F -4 3 m'
_space_group_IT_number 216
_space_group_name_Hall 'F -4 2 3'
loop_
_atom_site_label
_atom_site_type_symbol
_atom_site_fract_x
_atom_site_fract_y
_atom_site_fract_z
Li1 Li 0.000 0.000 0.000
Sc1 Sc 0.250 0.250 0.750
Zn1 Zn 0.000 0.000 0.500
```

Output
Calculated formation energy   1.350 eV per formula unit
Crystal system   cubic

Entry 6:
A plane-wave DFT calculation with PBE was carried out for an optimized crystal structure of Y2HoAg2.

```
data_Y2HoAg2
_cell_length_a 6.405
_cell_length_b 4.998
_cell_length_c 8.162
_cell_angle_alpha 90.00
_cell_angle_beta 95.07
_cell_angle_gamma 90.00
_space_group_name_H-M_alt 'P 1 21/m 1'
_space_group_IT_number 11
_space_group_name_Hall '-P 2yb'
loop_
_atom_site_label
_atom_site_type_symbol
_atom_site_fract_x
_atom_site_fract_y
_atom_site_fract_z
Y1 Y 0.100 0.250 0.360
Y2 Y 0.160 0.750 0.055
Ho1 Ho 0.320 0.250 0.752
Ag1 Ag 0.370 0.750 0.524
Ag2 Ag 0.429 0.250 0.111
```

Output
Calculated formation energy   -0.821 eV per formula unit
Crystal system   monoclinic

Entry 7:
A plane-wave DFT calculation with PBE was carried out for an optimized crystal structure of La2Al3Ga4Hg.

```
data_La2Al3Ga4Hg
_cell_length_a 4.467
_cell_length_b 4.467
_cell_length_c 10.753
_cell_angle_alpha 90.00
_cell_angle_beta 90.00
_cell_angle_gamma 90.00
_space_group_name_H-M_alt 'P -4 m 2'
_space_group_IT_number 115
_space_group_name_Hall 'P -4 -2'
loop_
_atom_site_label
_atom_site_type_symbol
_atom_site_fract_x
_atom_site_fract_y
_atom_site_fract_z
La1 La 0.000 0.500 0.242
Al1 Al 0.000 0.500 0.874
Al2 Al 0.500 0.500 0.500
Ga1 Ga 0.000 0.000 0.000
Ga2 Ga 0.000 0.500 0.643
Ga3 Ga 0.500 0.500 0.000
Hg1 Hg 0.000 0.000 0.500
```

Output
Calculated formation energy   -4.377 eV per formula unit
Crystal system   tetragonal

Entry 8:
A plane-wave DFT calculation with PBE was carried out for an optimized crystal structure of BeBi2IrBr.

```
data_BeBi2IrBr
_cell_length_a 5.322
_cell_length_b 5.322
_cell_length_c 5.247
_cell_angle_alpha 90.00
_cell_angle_beta 90.00
_cell_angle_gamma 90.00
_space_group_name_H-M_alt 'P 4/m m m'
_space_group_IT_number 123
_space_group_name_Hall '-P 4 2'
loop_
_atom_site_label
_atom_site_type_symbol
_atom_site_fract_x
_atom_site_fract_y
_atom_site_fract_z
Be1 Be 0.000 0.000 0.000
Bi1 Bi 0.000 0.500 0.500
Ir1 Ir 0.500 0.500 0.500
Br1 Br 0.500 0.500 0.000
```

Output
DFT total energy   -0.25635 Ry/atom
Crystal system   tetragonal

Entry 9:
A plane-wave DFT calculation with PBE was carried out for an optimized crystal structure of NiSbAu3.

```
data_NiSbAu3
_cell_length_a 4.777
_cell_length_b 4.777
_cell_length_c 4.777
_cell_angle_alpha 90.00
_cell_angle_beta 90.00
_cell_angle_gamma 90.00
_space_group_name_H-M_alt 'P m -3 m'
_space_group_IT_number 221
_space_group_name_Hall '-P 4 2 3'
loop_
_atom_site_label
_atom_site_type_symbol
_atom_site_fract_x
_atom_site_fract_y
_atom_site_fract_z
Ni1 Ni 0.000 0.000 0.000
Sb1 Sb 0.500 0.500 0.500
Au1 Au 0.000 0.000 0.500
```

Output
DFT total energy   -0.25034 Ry/atom
Crystal system   cubic

Entry 10:
A plane-wave DFT calculation with PBE was carried out for an optimized crystal structure of Mg4ScPb.

```
data_Mg4ScPb
_cell_length_a 8.361
_cell_length_b 8.361
_cell_length_c 8.361
_cell_angle_alpha 90.00
_cell_angle_beta 90.00
_cell_angle_gamma 90.00
_space_group_name_H-M_alt 'F -4 3 m'
_space_group_IT_number 216
_space_group_name_Hall 'F -4 2 3'
loop_
_atom_site_label
_atom_site_type_symbol
_atom_site_fract_x
_atom_site_fract_y
_atom_site_fract_z
Mg1 Mg 0.124 0.124 0.376
Sc1 Sc 0.250 0.250 0.750
Pb1 Pb 0.000 0.000 0.000
```

Output
Calculated formation energy   0.331 eV per formula unit
Crystal system   cubic

Entry 11:
A plane-wave DFT calculation with PBE was carried out for an optimized crystal structure of RbSm4Cl12.

```
data_RbSm4Cl12
_cell_length_a 10.556
_cell_length_b 10.556
_cell_length_c 10.556
_cell_angle_alpha 90.00
_cell_angle_beta 90.00
_cell_angle_gamma 90.00
_space_group_name_H-M_alt 'I m -3'
_space_group_IT_number 204
_space_group_name_Hall '-I 2 2 3'
loop_
_atom_site_label
_atom_site_type_symbol
_atom_site_fract_x
_atom_site_fract_y
_atom_site_fract_z
Rb1 Rb 0.000 0.000 0.000
Sm1 Sm 0.250 0.250 0.250
Cl1 Cl 0.000 0.195 0.286
```

Output
DFT total energy   -0.34018 Ry/atom
Crystal system   cubic

Entry 12:
A plane-wave DFT calculation with PBE was carried out for an optimized crystal structure of NbPd2Ru.

```
data_NbPd2Ru
_cell_length_a 6.326
_cell_length_b 6.326
_cell_length_c 6.326
_cell_angle_alpha 90.00
_cell_angle_beta 90.00
_cell_angle_gamma 90.00
_space_group_name_H-M_alt 'F m -3 m'
_space_group_IT_number 225
_space_group_name_Hall '-F 4 2 3'
loop_
_atom_site_label
_atom_site_type_symbol
_atom_site_fract_x
_atom_site_fract_y
_atom_site_fract_z
Nb1 Nb 0.000 0.000 0.000
Pd1 Pd 0.250 0.250 0.250
Ru1 Ru 0.000 0.000 0.500
```

Output
Calculated formation energy   0.454 eV per formula unit
Crystal system   cubic

Entry 13:
A plane-wave DFT calculation with PBE was carried out for an optimized crystal structure of TcSe2I.

```
data_TcSe2I
_cell_length_a 7.642
_cell_length_b 12.562
_cell_length_c 5.574
_cell_angle_alpha 90.00
_cell_angle_beta 100.17
_cell_angle_gamma 90.00
_space_group_name_H-M_alt 'C 1 2/c 1'
_space_group_IT_number 15
_space_group_name_Hall '-C 2yc'
loop_
_atom_site_label
_atom_site_type_symbol
_atom_site_fract_x
_atom_site_fract_y
_atom_site_fract_z
Tc1 Tc 0.000 0.019 0.250
Se1 Se 0.176 0.107 0.591
I1 I 0.000 0.328 0.750
```

Output
DFT total energy   -0.35563 Ry/atom
Crystal system   monoclinic

Entry 14:
A plane-wave DFT calculation with PBE was carried out for an optimized crystal structure of DyTlCdAu.

```
data_DyTlCdAu
_cell_length_a 7.176
_cell_length_b 7.176
_cell_length_c 7.176
_cell_angle_alpha 90.00
_cell_angle_beta 90.00
_cell_angle_gamma 90.00
_space_group_name_H-M_alt 'F -4 3 m'
_space_group_IT_number 216
_space_group_name_Hall 'F -4 2 3'
loop_
_atom_site_label
_atom_site_type_symbol
_atom_site_fract_x
_atom_site_fract_y
_atom_site_fract_z
Dy1 Dy 0.000 0.000 0.000
Tl1 Tl 0.250 0.250 0.750
Cd1 Cd 0.000 0.000 0.500
Au1 Au 0.250 0.250 0.250
```

Output
Calculated formation energy   -1.575 eV per formula unit
Crystal system   cubic

Entry 15:
A plane-wave DFT calculation with PBE was carried out for an optimized crystal structure of Pu2NiIr3.

```
data_Pu2NiIr3
_cell_length_a 5.3904
_cell_length_b 5.3904
_cell_length_c 12.4322
_cell_angle_alpha 90.00
_cell_angle_beta 90.00
_cell_angle_gamma 120.00
_space_group_name_H-M_alt 'R -3 m'
_space_group_IT_number 166
_space_group_name_Hall '-R 3 2"'
loop_
_atom_site_label
_atom_site_type_symbol
_atom_site_fract_x
_atom_site_fract_y
_atom_site_fract_z
Pu1 Pu 0.0000 0.0000 0.1244
Ni1 Ni 0.0000 0.0000 0.5000
Ir1 Ir 0.0000 0.5000 0.0000
```

Output
Calculated formation energy   -3.231 eV per formula unit
Crystal system   trigonal

Entry 16:
A plane-wave DFT calculation with PBE was carried out for an optimized crystal structure of NdDy4Er5.

```
data_NdDy4Er5
_cell_length_a 10.167
_cell_length_b 10.167
_cell_length_c 6.257
_cell_angle_alpha 90.00
_cell_angle_beta 90.00
_cell_angle_gamma 90.00
_space_group_name_H-M_alt 'I 4'
_space_group_IT_number 79
_space_group_name_Hall 'I 4'
loop_
_atom_site_label
_atom_site_type_symbol
_atom_site_fract_x
_atom_site_fract_y
_atom_site_fract_z
Nd1 Nd 0.000 0.000 0.000
Dy1 Dy 0.050 0.650 0.231
Er1 Er 0.000 0.000 0.458
Er2 Er 0.145 0.767 0.727
```

Output
Calculated formation energy   3.051 eV per formula unit
Crystal system   tetragonal

Entry 17:
A plane-wave DFT calculation with PBE was carried out for an optimized crystal structure of Fe2NiSe4.

```
data_Fe2NiSe4
_cell_length_a 3.509
_cell_length_b 6.098
_cell_length_c 6.458
_cell_angle_alpha 116.86
_cell_angle_beta 105.65
_cell_angle_gamma 90.06
_space_group_name_H-M_alt 'P -1'
_space_group_IT_number 2
_space_group_name_Hall '-P 1'
loop_
_atom_site_label
_atom_site_type_symbol
_atom_site_fract_x
_atom_site_fract_y
_atom_site_fract_z
Fe1 Fe 0.245 0.199 0.490
Ni1 Ni 0.500 0.500 0.000
Se1 Se 0.140 0.480 0.279
Se2 Se 0.388 0.047 0.777
```

Output
DFT total energy   -0.40301 Ry/atom
Crystal system   triclinic

Entry 18:
A plane-wave DFT calculation with PBE was carried out for an optimized crystal structure of AcPr2Ir.

```
data_AcPr2Ir
_cell_length_a 7.554
_cell_length_b 10.235
_cell_length_c 6.704
_cell_angle_alpha 90.00
_cell_angle_beta 90.00
_cell_angle_gamma 90.00
_space_group_name_H-M_alt 'P n m a'
_space_group_IT_number 62
_space_group_name_Hall '-P 2ac 2n'
loop_
_atom_site_label
_atom_site_type_symbol
_atom_site_fract_x
_atom_site_fract_y
_atom_site_fract_z
Ac1 Ac 0.039 0.250 0.147
Pr1 Pr 0.173 0.070 0.671
Ir1 Ir 0.120 0.750 0.425
```

Output
Calculated formation energy   -1.693 eV per formula unit
Crystal system   orthorhombic

Entry 19:
A plane-wave DFT calculation with PBE was carried out for an optimized crystal structure of La6CeSm.

```
data_La6CeSm
_cell_length_a 5.194
_cell_length_b 5.194
_cell_length_c 10.399
_cell_angle_alpha 90.00
_cell_angle_beta 90.00
_cell_angle_gamma 90.00
_space_group_name_H-M_alt 'P 4/m m m'
_space_group_IT_number 123
_space_group_name_Hall '-P 4 2'
loop_
_atom_site_label
_atom_site_type_symbol
_atom_site_fract_x
_atom_site_fract_y
_atom_site_fract_z
La1 La 0.000 0.000 0.000
La2 La 0.000 0.000 0.500
La3 La 0.000 0.500 0.244
Ce1 Ce 0.500 0.500 0.000
Sm1 Sm 0.500 0.500 0.500
```

Output
Calculated formation energy   0.276 eV per formula unit
Crystal system   tetragonal

Entry 20:
A plane-wave DFT calculation with PBE was carried out for an optimized crystal structure of Bi2Pb5.

```
data_Bi2Pb5
_cell_length_a 15.916
_cell_length_b 6.059
_cell_length_c 9.201
_cell_angle_alpha 90.00
_cell_angle_beta 92.87
_cell_angle_gamma 90.00
_space_group_name_H-M_alt 'C 1 2/c 1'
_space_group_IT_number 15
_space_group_name_Hall '-C 2yc'
loop_
_atom_site_label
_atom_site_type_symbol
_atom_site_fract_x
_atom_site_fract_y
_atom_site_fract_z
Bi1 Bi 0.075 0.184 0.108
Pb1 Pb 0.000 0.317 0.750
Pb2 Pb 0.141 0.319 0.463
Pb3 Pb 0.217 0.178 0.824
```

Output
Calculated formation energy   0.104 eV per formula unit
Crystal system   monoclinic